VASP calculation (GGA-PBE) on a geometry-optimized As2PbSO structure.

Raw formation energy   152.0 meV/atom
Crystal system   tetragonal

a = 4.1382 Å, b = 6.5396 Å, c = 4.1382 Å
α = 90.00°, β = 90.00°, γ = 90.00°
With the nearest neighbours (Å) after each atom.
Positions (direct):
Pb: 0.5000 0.5000 0.5000  4 S 2.93
As: 0.0000 0.0000 0.5000  2 O 2.07
As: 0.5000 0.0000 0.0000  2 O 2.07
S: 0.0000 0.5000 0.0000  4 Pb 2.93, 2 O 3.27
O: 0.0000 0.0000 0.0000  4 As 2.07



VASP calculation (GGA-PBE) on a geometry-optimized SbAs2PbO structure.

Raw formation energy   1162.4 meV/atom
Crystal system   tetragonal

a = 5.1672 Å, b = 6.2297 Å, c = 5.1672 Å
α = 90.00°, β = 90.00°, γ = 90.00°
With the nearest neighbours (Å) after each atom.
Positions (direct):
Pb: 0.0000 0.5000 0.0000  2 Sb 3.11
Sb: 0.0000 0.0000 0.0000  4 As 2.58
As: 0.0000 0.0000 0.5000  2 Sb 2.58
As: 0.5000 0.0000 0.0000  2 Sb 2.58
O: 0.5000 0.5000 0.5000  4 Pb 3.65, 8 As 4.05